An optimized crystal structure of YTaRe, computed with GGA-PBE.

Cell lengths 4.6351, 4.6351, 3.1604 Å; angles 90.00, 90.00, 120.00 degrees
Closest atoms and distances in Å follow each position.
Space group P3m1 (No. 156)
Unique sites:
Y 0.0000 0.0000 0.0000  3 Re 2.90, 3 Ta 2.96, 2 Y 3.16
Ta 0.6667 0.3333 0.5974  3 Re 2.79, 3 Y 2.96
Re 0.3333 0.6667 0.3527  3 Ta 2.79, 3 Y 2.90

Summary:
Size of the total moment, μB per cell: 0.00
Volume, Å³ per atom: 19.60
Calculated total energy, eV per atom: -10.00
ΔE_f, eV/atom: 0.250